# 1
Material: RuRh
Method: DFT, PBE
State: optimized geometry

The structure in POSCAR format:
```
RuRh
1.0
3.792 0.000 0.000
-1.896 3.284 0.000
0.000 0.000 5.343
Ru Rh
2 2
direct
0.333 0.667 0.250
0.667 0.333 0.750
0.000 0.000 0.000
0.000 0.000 0.500
```

Computed properties:
E_tot = -7.4418 eV per atom
Magnetic moment = 0.39 μB per atom
SG = P6_3/mmc (194)
Energy of formation = 0.87 eV per atom



# 2
Material: RbZrTl
Method: DFT, PBE
State: optimized geometry

The structure in POSCAR format:
```
RbZrTl
1.0
3.219 -3.764 0.000
3.219 3.764 0.000
0.000 0.000 9.131
Rb Zr Tl
2 2 2
direct
0.250 0.750 0.864
0.750 0.250 0.136
0.250 0.250 0.500
0.750 0.750 0.500
0.250 0.750 0.315
0.750 0.250 0.685
```

Computed properties:
Offset from the most stable computed form = 210.7 meV/atom
E_tot = -3.6847 eV per atom
Magnetic moment = 0.00 μB per atom
SG = Cmme (67)
Energy of formation = 0.28 eV per atom



# 3
Material: B3AsRh
Method: DFT, PBE
State: optimized geometry

The structure in POSCAR format:
```
B3AsRh
1.0
4.041 0.000 0.000
0.000 4.041 0.000
0.000 0.000 4.041
B As Rh
3 1 1
direct
0.000 0.000 0.500
0.000 0.500 0.000
0.500 0.000 0.000
0.000 0.000 0.000
0.500 0.500 0.500
```

Computed properties:
Offset from the most stable computed form = 655.2 meV/atom
E_tot = -4.4513 eV per atom
Magnetic moment = 0.00 μB per atom
SG = Pm-3m (221)
Energy of formation = 1.96 eV per atom